# ThGe2PdRh5 (GGA-PBE, optimized geometry)
# Density ... 10.72 Mg/m³
# Calculated volume ... 154.7 Å³/f.u.
# Energy of formation from the pure elements ... -377.9 meV per atom
# E ... -6.8895 eV per atom
data_ThGe2PdRh5
_symmetry_space_group_name_H-M 'P 4/m m m'
_symmetry_Int_Tables_number 123
_symmetry_space_group_name_Hall '-P 4 2'
_cell_length_a 4.102
_cell_length_b 4.102
_cell_length_c 9.191
_cell_angle_alpha 90.00
_cell_angle_beta 90.00
_cell_angle_gamma 90.00
loop_
_atom_site_label
_atom_site_type_symbol
_atom_site_fract_x
_atom_site_fract_y
_atom_site_fract_z
_atom_site_occupancy
Th1 Th 0.000 0.000 0.000 1
Ge1 Ge 0.500 0.500 0.370 1
Pd1 Pd 0.000 0.000 0.500 1
Rh1 Rh 0.000 0.500 0.228 1
Rh2 Rh 0.500 0.500 0.000 1